# 1
# PrCd3P3 PBE optimized geometry
# DFT total energy = -27.11 eV per formula unit
data_PrCd3P3
_space_group_name_H-M_alt 'P 63/m m c'
_space_group_IT_number 194
_space_group_name_Hall '-P 6c 2c'
_cell_length_a 4.3179
_cell_length_b 4.3179
_cell_length_c 21.1984
_cell_angle_alpha 90.00
_cell_angle_beta 90.00
_cell_angle_gamma 120.00
loop_
_atom_site_label
_atom_site_type_symbol
_atom_site_fract_x
_atom_site_fract_y
_atom_site_fract_z
Pr1 Pr 0.0000 0.0000 0.0000
Cd1 Cd 0.3333 0.6667 0.1265
Cd2 Cd 0.3333 0.6667 0.7500
P1 P 0.3333 0.6667 0.2500
P2 P 0.3333 0.6667 0.5778

---

# 2
# Pr2CdP PBE optimized geometry
# DFT total energy = -19.27 eV per formula unit
data_Pr2CdP
_space_group_name_H-M_alt 'R -3 m'
_space_group_IT_number 166
_space_group_name_Hall '-R 3 2"'
_cell_length_a 4.1611
_cell_length_b 4.1611
_cell_length_c 23.6893
_cell_angle_alpha 90.00
_cell_angle_beta 90.00
_cell_angle_gamma 120.00
loop_
_atom_site_label
_atom_site_type_symbol
_atom_site_fract_x
_atom_site_fract_y
_atom_site_fract_z
Pr1 Pr 0.0000 0.0000 0.2349
Cd1 Cd 0.0000 0.0000 0.0000
P1 P 0.0000 0.0000 0.5000

---

# 3
# Pr3CdP PBE optimized geometry
# DFT total energy = -23.16 eV per formula unit
data_Pr3CdP
_space_group_name_H-M_alt 'P m -3 m'
_space_group_IT_number 221
_space_group_name_Hall '-P 4 2 3'
_cell_length_a 5.545
_cell_length_b 5.545
_cell_length_c 5.545
_cell_angle_alpha 90.00
_cell_angle_beta 90.00
_cell_angle_gamma 90.00
loop_
_atom_site_label
_atom_site_type_symbol
_atom_site_fract_x
_atom_site_fract_y
_atom_site_fract_z
Pr1 Pr 0.000 0.000 0.500
Cd1 Cd 0.500 0.500 0.500
P1 P 0.000 0.000 0.000

---

# 4
# Pr2CdP PBE optimized geometry
# DFT total energy = -18.73 eV per formula unit
data_Pr2CdP
_space_group_name_H-M_alt 'P 4/m m m'
_space_group_IT_number 123
_space_group_name_Hall '-P 4 2'
_cell_length_a 3.809
_cell_length_b 3.809
_cell_length_c 7.148
_cell_angle_alpha 90.00
_cell_angle_beta 90.00
_cell_angle_gamma 90.00
loop_
_atom_site_label
_atom_site_type_symbol
_atom_site_fract_x
_atom_site_fract_y
_atom_site_fract_z
Pr1 Pr 0.000 0.000 0.224
Cd1 Cd 0.500 0.500 0.500
P1 P 0.500 0.500 0.000

---

Question: DFT total energy of number 2 (Pr2CdP)?
Answer: -19.27 eV per formula unit